[1]
A geometry-optimized Sc2CrC structure. Source: Alexandria via LeMat-Bulk, functional PBE.

Cell and atoms, written as POSCAR:
```
Sc2CrC
1.0
1.819 0.000 7.796
-0.909 1.575 7.796
-0.909 -1.575 7.796
Sc Cr C
2 1 1
Direct
0.888 0.888 0.888
0.112 0.112 0.112
0.000 0.000 0.000
0.500 0.500 0.500
```

## Properties
Energy in eV/atom: -7.48
Formation enthalpy at 0 K in eV per atom: 0.393
Symmetry: No. 166
Crystal system: trigonal

---

[2]
A geometry-optimized Sc2Cr2C3 structure. Source: Alexandria via LeMat-Bulk, functional PBE.

Cell and atoms, written as POSCAR:
```
Sc2Cr2C3
1.0
0.683 -3.088 0.200
3.836 1.075 3.492
-4.767 0.735 2.519
Sc Cr C
2 2 3
Direct
0.614 0.814 0.229
0.386 0.186 0.771
0.849 0.624 0.699
0.151 0.376 0.301
0.000 0.500 0.000
0.276 0.746 0.552
0.724 0.254 0.448
```

## Properties
Energy in eV/atom: -8.91
Formation enthalpy at 0 K in eV per atom: -0.395
Symmetry: No. 12
Crystal system: monoclinic

---

[3]
A geometry-optimized ScCr2C2 structure. Source: Alexandria via LeMat-Bulk, functional PBE.

Cell and atoms, written as POSCAR:
```
ScCr2C2
1.0
-0.411 -0.134 -5.205
-3.512 -3.543 1.545
-0.995 4.838 1.986
Sc Cr C
2 4 4
Direct
0.875 0.625 0.750
0.125 0.375 0.250
0.239 0.989 0.478
0.489 0.739 0.978
0.761 0.011 0.522
0.511 0.261 0.022
0.161 0.339 0.750
0.411 0.089 0.250
0.589 0.911 0.750
0.839 0.661 0.250
```

## Properties
Energy in eV/atom: -9.07
Formation enthalpy at 0 K in eV per atom: -0.260
Symmetry: No. 70
Crystal system: orthorhombic

---

[4]
A geometry-optimized Sc2CrC structure. Source: Alexandria via LeMat-Bulk, functional PBE.

Cell and atoms, written as POSCAR:
```
Sc2CrC
1.0
-6.830 -4.710 -2.068
1.181 -4.781 6.990
-3.950 -3.555 3.466
Sc Cr C
4 2 2
Direct
0.467 0.125 0.250
0.283 0.625 0.250
0.375 0.533 0.750
0.875 0.717 0.750
0.000 0.000 0.000
0.750 0.250 0.500
0.500 0.500 0.000
0.250 0.750 0.500
```

## Properties
Energy in eV/atom: -7.86
Formation enthalpy at 0 K in eV per atom: 0.018
Symmetry: No. 122
Crystal system: tetragonal

---

[5]
A geometry-optimized Sc2CrC structure. Source: Alexandria via LeMat-Bulk, functional PBE.

Cell and atoms, written as POSCAR:
```
Sc2CrC
1.0
4.389 0.000 0.000
0.000 3.123 0.000
0.000 0.000 10.575
Sc Cr C
4 2 2
Direct
0.500 0.000 0.747
0.500 0.500 0.247
0.000 0.000 0.009
0.000 0.500 0.509
0.500 0.000 0.483
0.500 0.500 0.983
0.500 0.000 0.091
0.500 0.500 0.591
```

## Properties
Energy in eV/atom: -7.78
Formation enthalpy at 0 K in eV per atom: 0.095
Symmetry: No. 38
Crystal system: orthorhombic

---

[6]
A geometry-optimized ScCrC3 structure. Source: Alexandria via LeMat-Bulk, functional PBE.

Cell and atoms, written as POSCAR:
```
ScCrC3
1.0
-0.905 -3.804 1.120
1.826 -1.420 -3.345
3.519 -0.242 2.024
Sc Cr C
1 1 3
Direct
0.000 0.000 0.000
0.500 0.500 0.500
0.000 0.500 0.000
0.000 0.000 0.500
0.500 0.000 0.000
```

## Properties
Energy in eV/atom: -5.99
Formation enthalpy at 0 K in eV per atom: 2.730
Symmetry: No. 221
Crystal system: cubic

---

[7]
A geometry-optimized Sc3CrC2 structure. Source: Alexandria via LeMat-Bulk, functional PBE.

Cell and atoms, written as POSCAR:
```
Sc3CrC2
1.0
-4.303 -3.021 3.310
5.974 -1.651 0.415
0.500 5.870 1.970
Sc Cr C
6 2 4
Direct
0.026 0.750 0.776
0.974 0.250 0.224
0.500 0.288 0.288
0.000 0.788 0.288
0.000 0.212 0.712
0.500 0.712 0.712
0.579 0.250 0.829
0.421 0.750 0.171
0.312 0.250 0.562
0.000 0.500 0.000
0.500 0.000 0.000
0.688 0.750 0.438
```

## Properties
Energy in eV/atom: -8.14
Formation enthalpy at 0 K in eV per atom: -0.299
Symmetry: No. 74
Crystal system: orthorhombic

---

[8]
A geometry-optimized Sc2CrC structure. Source: Alexandria via LeMat-Bulk, functional PBE.

Cell and atoms, written as POSCAR:
```
Sc2CrC
1.0
-0.414 -0.176 3.830
2.928 -1.620 0.242
4.925 9.047 0.949
Sc Cr C
4 2 2
Direct
0.000 0.000 0.645
0.000 0.000 0.355
0.500 0.500 0.145
0.500 0.500 0.855
0.000 0.000 0.000
0.500 0.500 0.500
0.000 0.500 0.500
0.500 0.000 0.000
```

## Properties
Energy in eV/atom: -8.06
Formation enthalpy at 0 K in eV per atom: -0.185
Symmetry: No. 71
Crystal system: orthorhombic

---

[9]
A geometry-optimized Sc2CrC structure. Source: Alexandria via LeMat-Bulk, functional PBE.

Cell and atoms, written as POSCAR:
```
Sc2CrC
1.0
-2.747 -1.286 -1.037
1.022 -0.592 2.980
-3.630 5.820 2.400
Sc Cr C
2 1 1
Direct
0.000 0.000 0.529
0.667 0.333 0.125
0.333 0.667 0.827
0.000 0.000 0.933
```

## Properties
Energy in eV/atom: -8.04
Formation enthalpy at 0 K in eV per atom: -0.158
Symmetry: No. 156
Crystal system: trigonal

---

[10]
A geometry-optimized Sc2CrC structure. Source: Alexandria via LeMat-Bulk, functional PBE.

Cell and atoms, written as POSCAR:
```
Sc2CrC
1.0
-0.418 2.993 -1.102
-1.283 -0.869 2.818
18.075 6.266 10.164
Sc Cr C
6 3 3
Direct
0.000 0.000 0.874
0.333 0.667 0.541
0.667 0.333 0.208
0.000 0.000 0.406
0.333 0.667 0.072
0.667 0.333 0.739
0.000 0.000 0.639
0.333 0.667 0.306
0.667 0.333 0.973
0.000 0.000 0.007
0.333 0.667 0.673
0.667 0.333 0.340
```

## Properties
Energy in eV/atom: -8.03
Formation enthalpy at 0 K in eV per atom: -0.155
Symmetry: No. 160
Crystal system: trigonal

---

[11]
A geometry-optimized Sc2CrC structure. Source: Alexandria via LeMat-Bulk, functional PBE.

Cell and atoms, written as POSCAR:
```
Sc2CrC
1.0
-0.613 1.866 2.350
2.416 -2.800 2.853
7.286 4.517 -1.736
Sc Cr C
4 2 2
Direct
0.973 0.000 0.698
0.973 0.500 0.198
0.471 0.000 0.033
0.471 0.500 0.533
0.476 0.000 0.357
0.476 0.500 0.857
0.974 0.000 0.226
0.974 0.500 0.726
```

## Properties
Energy in eV/atom: -7.99
Formation enthalpy at 0 K in eV per atom: -0.109
Symmetry: No. 8
Crystal system: monoclinic

---

[12]
A geometry-optimized ScCrC structure. Source: Alexandria via LeMat-Bulk, functional PBE.

Cell and atoms, written as POSCAR:
```
ScCrC
1.0
-2.783 4.853 2.533
-2.834 -6.159 1.244
0.793 -2.641 5.932
Sc C Cr
6 6 6
Direct
0.257 0.415 0.543
0.843 0.585 0.457
0.663 0.000 0.250
0.663 0.000 0.750
0.843 0.585 0.957
0.257 0.415 0.043
0.222 0.000 0.750
0.222 0.000 0.250
0.584 0.668 0.166
0.915 0.332 0.834
0.915 0.332 0.334
0.584 0.668 0.666
0.994 0.000 0.000
0.994 0.000 0.500
0.476 0.209 0.396
0.267 0.791 0.604
0.267 0.791 0.104
0.476 0.209 0.896
```

## Properties
Energy in eV/atom: -8.45
Formation enthalpy at 0 K in eV per atom: -0.056
Symmetry: No. 38
Crystal system: orthorhombic

---

[13]
A geometry-optimized Sc3CrC3 structure. Source: Alexandria via LeMat-Bulk, functional PBE.

Cell and atoms, written as POSCAR:
```
Sc3CrC3
1.0
-1.570 -3.792 -2.316
5.761 -2.671 0.467
-2.618 -2.197 5.372
Sc Cr C
6 2 6
Direct
0.750 0.601 0.839
0.750 0.109 0.890
0.750 0.161 0.399
0.250 0.399 0.161
0.250 0.891 0.110
0.250 0.839 0.601
0.250 0.310 0.690
0.750 0.690 0.310
0.250 0.587 0.832
0.250 0.123 0.877
0.250 0.169 0.413
0.750 0.413 0.168
0.750 0.877 0.123
0.750 0.831 0.587
```

## Properties
Energy in eV/atom: -8.47
Formation enthalpy at 0 K in eV per atom: -0.425
Symmetry: No. 63
Crystal system: orthorhombic

---

[14]
A geometry-optimized Sc2CrC structure. Source: Alexandria via LeMat-Bulk, functional PBE.

Cell and atoms, written as POSCAR:
```
Sc2CrC
1.0
-7.282 -0.990 4.934
-5.291 0.272 7.091
-6.901 2.178 5.097
Sc Cr C
2 1 1
Direct
0.918 0.918 0.918
0.082 0.082 0.082
0.500 0.500 0.500
0.000 0.000 0.000
```

## Properties
Energy in eV/atom: -6.70
Formation enthalpy at 0 K in eV per atom: 1.181
Symmetry: No. 166
Crystal system: trigonal

---

[15]
A geometry-optimized ScCrC3 structure. Source: Alexandria via LeMat-Bulk, functional PBE.

Cell and atoms, written as POSCAR:
```
ScCrC3
1.0
3.779 0.000 0.000
0.000 3.779 0.000
0.000 0.000 3.779
Sc Cr C
1 1 3
Direct
0.500 0.500 0.500
0.000 0.000 0.000
0.000 0.500 0.000
0.000 0.000 0.500
0.500 0.000 0.000
```

## Properties
Energy in eV/atom: -7.84
Formation enthalpy at 0 K in eV per atom: 0.881
Symmetry: No. 221
Crystal system: cubic

---

[16]
A geometry-optimized Sc2CrC structure. Source: Alexandria via LeMat-Bulk, functional PBE.

Cell and atoms, written as POSCAR:
```
Sc2CrC
1.0
-1.681 -0.106 2.876
-0.165 -3.655 -0.231
8.363 -0.685 4.863
Sc Cr C
4 2 2
Direct
0.000 0.000 0.232
0.000 0.500 0.732
0.500 0.000 0.941
0.500 0.500 0.441
0.500 0.000 0.634
0.500 0.500 0.134
0.000 0.000 0.523
0.000 0.500 0.023
```

## Properties
Energy in eV/atom: -7.87
Formation enthalpy at 0 K in eV per atom: 0.007
Symmetry: No. 38
Crystal system: orthorhombic

---

[17]
A geometry-optimized Sc2CrSiC structure. Source: Alexandria via LeMat-Bulk, functional PBE.

Cell and atoms, written as POSCAR:
```
Sc2CrSiC
1.0
4.457 0.000 0.000
0.000 4.457 0.000
0.000 0.000 3.800
Sc Cr Si C
2 1 1 1
Direct
0.000 0.500 0.000
0.500 0.000 0.000
0.000 0.000 0.500
0.500 0.500 0.500
0.000 0.000 0.000
```

## Properties
Energy in eV/atom: -7.82
Symmetry: No. 123
ΔE_f (raw) in eV per atom: -0.431
Crystal system: tetragonal

---

[18]
A geometry-optimized SmSc2Cr2C4 structure. Source: Alexandria via LeMat-Bulk, functional PBE.

Cell and atoms, written as POSCAR:
```
SmSc2Cr2C4
1.0
-2.265 -0.713 -2.111
5.542 -2.741 -2.630
-2.527 -3.407 3.861
Sm Sc Cr C
1 2 2 4
Direct
0.000 0.000 0.000
0.848 0.696 0.459
0.152 0.304 0.541
0.325 0.650 0.027
0.675 0.350 0.973
0.777 0.554 0.782
0.223 0.446 0.218
0.478 0.955 0.367
0.522 0.045 0.633
```

## Properties
Energy in eV/atom: -8.36
Formation enthalpy at 0 K in eV per atom: -0.195
Symmetry: No. 12
Crystal system: monoclinic

---

[19]
A geometry-optimized ScTa2CrC4 structure. Source: Alexandria via LeMat-Bulk, functional PBE.

Cell and atoms, written as POSCAR:
```
ScTa2CrC4
1.0
-1.614 -2.653 -0.294
5.078 -1.001 -2.296
3.764 -3.376 9.799
Sc Ta Cr C
2 4 2 8
Direct
0.107 0.214 0.750
0.893 0.786 0.250
0.369 0.738 0.540
0.631 0.262 0.040
0.631 0.262 0.460
0.369 0.738 0.960
0.841 0.683 0.750
0.159 0.317 0.250
0.266 0.531 0.121
0.734 0.469 0.621
0.734 0.469 0.879
0.266 0.531 0.379
0.000 0.000 0.500
0.000 0.000 0.000
0.446 0.892 0.750
0.554 0.108 0.250
```

## Properties
Energy in eV/atom: -9.90
Formation enthalpy at 0 K in eV per atom: -0.334
Symmetry: No. 63
Crystal system: orthorhombic

---

[20]
A geometry-optimized Tb2ScCr2C4 structure. Source: Alexandria via LeMat-Bulk, functional PBE.

Cell and atoms, written as POSCAR:
```
Tb2ScCr2C4
1.0
3.346 0.000 0.000
-1.673 6.391 0.177
0.000 -2.068 5.475
Tb Sc Cr C
2 1 2 4
Direct
0.869 0.739 0.465
0.131 0.261 0.535
0.000 0.000 0.000
0.323 0.646 0.005
0.677 0.354 0.995
0.785 0.570 0.811
0.215 0.430 0.189
0.462 0.924 0.237
0.538 0.076 0.763
```

## Properties
Energy in eV/atom: -8.18
Formation enthalpy at 0 K in eV per atom: -0.208
Symmetry: No. 12
Crystal system: monoclinic